1.
First-principles (GGA-PBE) data for a relaxed LaSbIr crystal, as listed in Alexandria.

Geometry as CIF:
```
data_LaSbIr
_cell_length_a 3.495
_cell_length_b 3.495
_cell_length_c 11.549
_cell_angle_alpha 90.00
_cell_angle_beta 90.00
_cell_angle_gamma 90.00
_space_group_name_H-M_alt 'P 1'
_space_group_IT_number 1
_space_group_name_Hall 'P 1'
loop_
_atom_site_label
_atom_site_type_symbol
_atom_site_fract_x
_atom_site_fract_y
_atom_site_fract_z
La1 La 0.000 0.000 0.000
La2 La 0.500 0.500 0.500
Sb1 Sb 0.000 0.000 0.285
Sb2 Sb 0.500 0.500 0.785
Ir1 Ir 0.000 0.000 0.673
Ir2 Ir 0.500 0.500 0.173
```

Values from the calculation:
**Space-group type**: I4mm (107)


2.
First-principles (GGA-PBE) data for a relaxed CeSmTh6 crystal, as listed in Alexandria.

Geometry as CIF:
```
data_CeSmTh6
_cell_length_a 5.021
_cell_length_b 5.021
_cell_length_c 10.052
_cell_angle_alpha 90.00
_cell_angle_beta 90.00
_cell_angle_gamma 90.00
_space_group_name_H-M_alt 'P 1'
_space_group_IT_number 1
_space_group_name_Hall 'P 1'
loop_
_atom_site_label
_atom_site_type_symbol
_atom_site_fract_x
_atom_site_fract_y
_atom_site_fract_z
Ce1 Ce 0.000 0.000 0.000
Sm1 Sm 0.000 0.000 0.500
Th1 Th 0.000 0.500 0.245
Th2 Th 0.000 0.500 0.755
Th3 Th 0.500 0.000 0.245
Th4 Th 0.500 0.000 0.755
Th5 Th 0.500 0.500 0.000
Th6 Th 0.500 0.500 0.500
```

Values from the calculation:
**ΔE_f**: 0.0428 eV per atom
**Space-group type**: P4/mmm (123)


3.
First-principles (GGA-PBE) data for a relaxed Er4BiSbSe2 crystal, as listed in Alexandria.

Geometry as CIF:
```
data_Er4BiSbSe2
_cell_length_a 7.302
_cell_length_b 4.232
_cell_length_c 7.318
_cell_angle_alpha 90.00
_cell_angle_beta 109.62
_cell_angle_gamma 90.00
_space_group_name_H-M_alt 'P 1'
_space_group_IT_number 1
_space_group_name_Hall 'P 1'
loop_
_atom_site_label
_atom_site_type_symbol
_atom_site_fract_x
_atom_site_fract_y
_atom_site_fract_z
Er1 Er 0.231 0.000 0.239
Er2 Er 0.235 0.500 0.749
Er3 Er 0.765 0.500 0.251
Er4 Er 0.769 0.000 0.761
Bi1 Bi 0.500 0.500 0.500
Sb1 Sb 0.500 0.000 0.000
Se1 Se 0.000 0.000 0.500
Se2 Se 0.000 0.500 0.000
```

Values from the calculation:
**Space-group type**: P2/m (10)


4.
First-principles (GGA-PBE) data for a relaxed HoInAgSn crystal, as listed in Alexandria.

Geometry as CIF:
```
data_HoInAgSn
_cell_length_a 7.300
_cell_length_b 7.300
_cell_length_c 7.300
_cell_angle_alpha 90.00
_cell_angle_beta 90.00
_cell_angle_gamma 90.00
_space_group_name_H-M_alt 'P 1'
_space_group_IT_number 1
_space_group_name_Hall 'P 1'
loop_
_atom_site_label
_atom_site_type_symbol
_atom_site_fract_x
_atom_site_fract_y
_atom_site_fract_z
Ho1 Ho 0.000 0.000 0.000
Ho2 Ho 0.000 0.500 0.500
Ho3 Ho 0.500 0.000 0.500
Ho4 Ho 0.500 0.500 0.000
In1 In 0.000 0.000 0.500
In2 In 0.000 0.500 0.000
In3 In 0.500 0.000 0.000
In4 In 0.500 0.500 0.500
Ag1 Ag 0.250 0.250 0.250
Ag2 Ag 0.250 0.750 0.750
Ag3 Ag 0.750 0.250 0.750
Ag4 Ag 0.750 0.750 0.250
Sn1 Sn 0.250 0.250 0.750
Sn2 Sn 0.250 0.750 0.250
Sn3 Sn 0.750 0.250 0.250
Sn4 Sn 0.750 0.750 0.750
```

Values from the calculation:
**Distance to the lowest polymorph of the same formula**: 216 meV per atom
**ΔE_f**: -0.1865 eV per atom
**Space-group type**: F-43m (216)


5.
First-principles (GGA-PBE) data for a relaxed SrCo crystal, as listed in Alexandria.

Geometry as CIF:
```
data_SrCo
_cell_length_a 8.935
_cell_length_b 8.935
_cell_length_c 8.935
_cell_angle_alpha 90.00
_cell_angle_beta 90.00
_cell_angle_gamma 90.00
_space_group_name_H-M_alt 'P 1'
_space_group_IT_number 1
_space_group_name_Hall 'P 1'
loop_
_atom_site_label
_atom_site_type_symbol
_atom_site_fract_x
_atom_site_fract_y
_atom_site_fract_z
Sr1 Sr 0.210 0.210 0.790
Sr2 Sr 0.210 0.790 0.210
Sr3 Sr 0.290 0.290 0.290
Sr4 Sr 0.290 0.710 0.710
Sr5 Sr 0.710 0.290 0.710
Sr6 Sr 0.710 0.710 0.290
Sr7 Sr 0.790 0.210 0.210
Sr8 Sr 0.790 0.790 0.790
Co1 Co 0.090 0.090 0.090
Co2 Co 0.090 0.910 0.910
Co3 Co 0.410 0.410 0.590
Co4 Co 0.410 0.590 0.410
Co5 Co 0.590 0.410 0.410
Co6 Co 0.590 0.590 0.590
Co7 Co 0.910 0.090 0.910
Co8 Co 0.910 0.910 0.090
```

Values from the calculation:
**ΔE_f**: 0.7170 eV per atom
**Space-group type**: I-43m (217)


6.
First-principles (GGA-PBE) data for a relaxed Pu2RuN crystal, as listed in Alexandria.

Geometry as CIF:
```
data_Pu2RuN
_cell_length_a 3.128
_cell_length_b 3.128
_cell_length_c 6.725
_cell_angle_alpha 90.00
_cell_angle_beta 90.00
_cell_angle_gamma 90.00
_space_group_name_H-M_alt 'P 1'
_space_group_IT_number 1
_space_group_name_Hall 'P 1'
loop_
_atom_site_label
_atom_site_type_symbol
_atom_site_fract_x
_atom_site_fract_y
_atom_site_fract_z
Pu1 Pu 0.000 0.000 0.213
Pu2 Pu 0.000 0.000 0.787
Ru1 Ru 0.500 0.500 0.500
N1 N 0.500 0.500 0.000
```

Values from the calculation:
**Distance to the lowest polymorph of the same formula**: 237 meV per atom
**Space-group type**: P4/mmm (123)


7.
First-principles (GGA-PBE) data for a relaxed Sr2MoAu crystal, as listed in Alexandria.

Geometry as CIF:
```
data_Sr2MoAu
_cell_length_a 3.729
_cell_length_b 3.729
_cell_length_c 28.663
_cell_angle_alpha 90.00
_cell_angle_beta 90.00
_cell_angle_gamma 120.00
_space_group_name_H-M_alt 'P 1'
_space_group_IT_number 1
_space_group_name_Hall 'P 1'
loop_
_atom_site_label
_atom_site_type_symbol
_atom_site_fract_x
_atom_site_fract_y
_atom_site_fract_z
Sr1 Sr 0.000 0.000 0.249
Sr2 Sr 0.000 0.000 0.751
Sr3 Sr 0.333 0.667 0.417
Sr4 Sr 0.333 0.667 0.916
Sr5 Sr 0.667 0.333 0.084
Sr6 Sr 0.667 0.333 0.583
Mo1 Mo 0.000 0.000 0.000
Mo2 Mo 0.333 0.667 0.667
Mo3 Mo 0.667 0.333 0.333
Au1 Au 0.000 0.000 0.500
Au2 Au 0.333 0.667 0.167
Au3 Au 0.667 0.333 0.833
```

Values from the calculation:
**Distance to the lowest polymorph of the same formula**: 336 meV per atom
**ΔE_f**: 0.5959 eV per atom
**Space-group type**: R-3m (166)


8.
First-principles (GGA-PBE) data for a relaxed MgTe4Mo crystal, as listed in Alexandria.

Geometry as CIF:
```
data_MgTe4Mo
_cell_length_a 6.340
_cell_length_b 6.340
_cell_length_c 6.340
_cell_angle_alpha 60.00
_cell_angle_beta 60.00
_cell_angle_gamma 60.00
_space_group_name_H-M_alt 'P 1'
_space_group_IT_number 1
_space_group_name_Hall 'P 1'
loop_
_atom_site_label
_atom_site_type_symbol
_atom_site_fract_x
_atom_site_fract_y
_atom_site_fract_z
Mg1 Mg 0.000 0.000 0.000
Te1 Te 0.375 0.375 0.375
Te2 Te 0.375 0.375 0.875
Te3 Te 0.375 0.875 0.375
Te4 Te 0.875 0.375 0.375
Mo1 Mo 0.750 0.750 0.750
```

Values from the calculation:
**Space-group type**: F-43m (216)


9.
First-principles (GGA-PBE) data for a relaxed Nd7In2Ga2 crystal, as listed in Alexandria.

Geometry as CIF:
```
data_Nd7In2Ga2
_cell_length_a 7.017
_cell_length_b 7.017
_cell_length_c 7.636
_cell_angle_alpha 90.00
_cell_angle_beta 90.00
_cell_angle_gamma 109.29
_space_group_name_H-M_alt 'P 1'
_space_group_IT_number 1
_space_group_name_Hall 'P 1'
loop_
_atom_site_label
_atom_site_type_symbol
_atom_site_fract_x
_atom_site_fract_y
_atom_site_fract_z
Nd1 Nd 0.000 0.000 0.000
Nd2 Nd 0.000 0.500 0.278
Nd3 Nd 0.000 0.500 0.722
Nd4 Nd 0.500 0.000 0.278
Nd5 Nd 0.500 0.000 0.722
Nd6 Nd 0.500 0.500 0.247
Nd7 Nd 0.500 0.500 0.753
In1 In 0.174 0.174 0.500
In2 In 0.826 0.826 0.500
Ga1 Ga 0.287 0.713 0.000
Ga2 Ga 0.713 0.287 0.000
```

Values from the calculation:
**ΔE_f**: -0.1991 eV per atom
**Space-group type**: Cmmm (65)


10.
First-principles (GGA-PBE) data for a relaxed MgOs2Pb crystal, as listed in Alexandria.

Geometry as CIF:
```
data_MgOs2Pb
_cell_length_a 2.982
_cell_length_b 2.976
_cell_length_c 8.689
_cell_angle_alpha 90.00
_cell_angle_beta 99.82
_cell_angle_gamma 90.00
_space_group_name_H-M_alt 'P 1'
_space_group_IT_number 1
_space_group_name_Hall 'P 1'
loop_
_atom_site_label
_atom_site_type_symbol
_atom_site_fract_x
_atom_site_fract_y
_atom_site_fract_z
Mg1 Mg 0.000 0.000 0.000
Os1 Os 0.394 0.500 0.787
Os2 Os 0.803 0.000 0.603
Pb1 Pb 0.176 0.500 0.349
```

Values from the calculation:
**ΔE_f**: 0.2723 eV per atom
**Space-group type**: Pm (6)


11.
First-principles (GGA-PBE) data for a relaxed La8P3Br4F crystal, as listed in Alexandria.

Geometry as CIF:
```
data_La8P3Br4F
_cell_length_a 8.773
_cell_length_b 8.773
_cell_length_c 8.773
_cell_angle_alpha 56.73
_cell_angle_beta 56.73
_cell_angle_gamma 56.73
_space_group_name_H-M_alt 'P 1'
_space_group_IT_number 1
_space_group_name_Hall 'P 1'
loop_
_atom_site_label
_atom_site_type_symbol
_atom_site_fract_x
_atom_site_fract_y
_atom_site_fract_z
La1 La 0.238 0.238 0.238
La2 La 0.239 0.734 0.734
La3 La 0.266 0.266 0.761
La4 La 0.266 0.761 0.266
La5 La 0.734 0.239 0.734
La6 La 0.734 0.734 0.239
La7 La 0.761 0.266 0.266
La8 La 0.762 0.762 0.762
P1 P 0.000 0.000 0.500
P2 P 0.000 0.500 0.000
P3 P 0.500 0.000 0.000
Br1 Br 0.000 0.000 0.000
Br2 Br 0.000 0.500 0.500
Br3 Br 0.500 0.000 0.500
Br4 Br 0.500 0.500 0.000
F1 F 0.500 0.500 0.500
```

Values from the calculation:
**Space-group type**: R-3m (166)


12.
First-principles (GGA-PBE) data for a relaxed Na2ZnAu crystal, as listed in Alexandria.

Geometry as CIF:
```
data_Na2ZnAu
_cell_length_a 4.860
_cell_length_b 4.860
_cell_length_c 11.870
_cell_angle_alpha 90.00
_cell_angle_beta 90.00
_cell_angle_gamma 120.00
_space_group_name_H-M_alt 'P 1'
_space_group_IT_number 1
_space_group_name_Hall 'P 1'
loop_
_atom_site_label
_atom_site_type_symbol
_atom_site_fract_x
_atom_site_fract_y
_atom_site_fract_z
Na1 Na 0.000 0.000 0.000
Na2 Na 0.000 0.000 0.250
Na3 Na 0.333 0.667 0.667
Na4 Na 0.333 0.667 0.917
Na5 Na 0.667 0.333 0.333
Na6 Na 0.667 0.333 0.584
Zn1 Zn 0.000 0.000 0.501
Zn2 Zn 0.333 0.667 0.167
Zn3 Zn 0.667 0.333 0.834
Au1 Au 0.000 0.000 0.750
Au2 Au 0.333 0.667 0.416
Au3 Au 0.667 0.333 0.083
```

Values from the calculation:
**ΔE_f**: -0.1606 eV per atom
**Space-group type**: R3m (160)


What did we get for density of states at the Fermi level? Answer: 5.65; 14.11; 3.30; 16.64; 43.17; 10.18; 8.86; 2.49; 14.58; 1.27; 9.99; 2.83 states/eV/cell, in the order shown.
What did we get for final energy? Answer: -6.43; -6.85; -5.47; -3.73; -3.68; -11.87; -3.77; -3.27; -4.28; -6.67; -5.64; -1.96 eV/atom, in the order shown.